No. 1
{
  "formula": "Ho3Ni2Ge3",
  "functional": "GGA-PBE",
  "state": "relaxed",
  "cell": [[7.723, 0.000, 0.000], [0.000, 14.091, 0.000], [0.000, 0.000, 5.614]],
  "species": ["Ho", "Ho", "Ho", "Ho", "Ho", "Ho", "Ho", "Ho", "Ho", "Ho", "Ho", "Ho", "Ni", "Ni", "Ni", "Ni", "Ni", "Ni", "Ni", "Ni", "Ge", "Ge", "Ge", "Ge", "Ge", "Ge", "Ge", "Ge", "Ge", "Ge", "Ge", "Ge"],
  "fractional_positions": [[0.037, 0.109, 0.131], [0.037, 0.391, 0.131], [0.180, 0.250, 0.627], [0.320, 0.750, 0.127], [0.463, 0.609, 0.631], [0.463, 0.891, 0.631], [0.537, 0.109, 0.369], [0.537, 0.391, 0.369], [0.680, 0.250, 0.873], [0.820, 0.750, 0.373], [0.963, 0.609, 0.869], [0.963, 0.891, 0.869], [0.095, 0.602, 0.381], [0.095, 0.898, 0.381], [0.405, 0.102, 0.881], [0.405, 0.398, 0.881], [0.595, 0.602, 0.119], [0.595, 0.898, 0.119], [0.905, 0.102, 0.619], [0.905, 0.398, 0.619], [0.175, 0.750, 0.606], [0.192, 0.041, 0.615], [0.192, 0.459, 0.615], [0.308, 0.541, 0.115], [0.308, 0.959, 0.115], [0.325, 0.250, 0.106], [0.675, 0.750, 0.894], [0.692, 0.041, 0.885], [0.692, 0.459, 0.885], [0.808, 0.541, 0.385], [0.808, 0.959, 0.385], [0.825, 0.250, 0.394]],
  "e_form_kj_per_mol_atoms": -77.3
}

No. 2
{
  "formula": "GaPt2CCl",
  "functional": "GGA-PBE",
  "state": "relaxed",
  "cell": [[3.937, 0.000, 0.000], [0.000, 3.937, 0.000], [0.000, 0.000, 7.076]],
  "species": ["Ga", "Pt", "Pt", "C", "Cl"],
  "fractional_positions": [[0.000, 0.000, 0.000], [0.000, 0.500, 0.500], [0.500, 0.000, 0.500], [0.500, 0.500, 0.500], [0.500, 0.500, 0.000]],
  "raw_formation_energy_mev_per_atom": 204
}

No. 3
{
  "formula": "Al3RuS",
  "functional": "GGA-PBE",
  "state": "relaxed",
  "cell": [[4.696, 0.000, 0.000], [0.000, 4.696, 0.000], [0.000, 0.000, 4.696]],
  "species": ["Al", "Al", "Al", "Ru", "S"],
  "fractional_positions": [[0.000, 0.000, 0.500], [0.000, 0.500, 0.000], [0.500, 0.000, 0.000], [0.000, 0.000, 0.000], [0.500, 0.500, 0.500]],
  "raw_formation_energy_mev_per_atom": 118
}

No. 4
{
  "formula": "Mg3C5",
  "functional": "GGA-PBE",
  "state": "relaxed",
  "cell": [[5.407, 0.000, 0.000], [0.000, 4.667, 0.000], [-0.071, 0.000, 8.041]],
  "species": ["Mg", "Mg", "Mg", "Mg", "Mg", "Mg", "C", "C", "C", "C", "C", "C", "C", "C", "C", "C"],
  "fractional_positions": [[0.000, 0.000, 0.000], [0.001, 0.500, 0.466], [0.329, 0.000, 0.317], [0.403, 0.500, 0.790], [0.666, 0.500, 0.153], [0.791, 0.000, 0.629], [0.006, 0.500, 0.793], [0.180, 0.000, 0.757], [0.193, 0.000, 0.561], [0.235, 0.364, 0.151], [0.235, 0.636, 0.151], [0.408, 0.000, 0.686], [0.759, 0.137, 0.321], [0.759, 0.863, 0.321], [0.783, 0.500, 0.701], [0.796, 0.500, 0.905]],
  "e_form_kj_per_mol_atoms": 65.2
}

No. 5
{
  "formula": "MgSc2BeRe",
  "functional": "GGA-PBE",
  "state": "relaxed",
  "cell": [[4.817, 0.000, 0.000], [0.000, 4.817, 0.000], [0.000, 0.000, 4.173]],
  "species": ["Mg", "Sc", "Sc", "Be", "Re"],
  "fractional_positions": [[0.000, 0.000, 0.000], [0.000, 0.500, 0.500], [0.500, 0.000, 0.500], [0.500, 0.500, 0.500], [0.500, 0.500, 0.000]],
  "e_form_kj_per_mol_atoms": 32.6
}

No. 6
{
  "formula": "Ti2FeMo",
  "functional": "GGA-PBE",
  "state": "relaxed",
  "cell": [[3.044, 0.000, 0.000], [0.000, 3.044, 0.000], [0.000, 0.000, 6.242]],
  "species": ["Ti", "Ti", "Fe", "Mo"],
  "fractional_positions": [[0.000, 0.000, 0.235], [0.000, 0.000, 0.765], [0.500, 0.500, 0.000], [0.500, 0.500, 0.500]],
  "e_form_kj_per_mol_atoms": -19.6
}

No. 7
{
  "formula": "NaLa2Au4",
  "functional": "GGA-PBE",
  "state": "relaxed",
  "cell": [[2.403, 1.387, 9.324], [-2.403, 1.387, 9.324], [0.000, -2.775, 9.324]],
  "species": ["Na", "La", "La", "Au", "Au", "Au", "Au"],
  "fractional_positions": [[0.000, 0.000, 0.000], [0.247, 0.247, 0.247], [0.753, 0.753, 0.753], [0.136, 0.136, 0.136], [0.363, 0.363, 0.363], [0.637, 0.637, 0.637], [0.864, 0.864, 0.864]],
  "e_form_kj_per_mol_atoms": -56.5
}

No. 8
{
  "formula": "Ba2TmBi3O12",
  "functional": "GGA-PBE",
  "state": "relaxed",
  "cell": [[3.946, 2.278, 6.337], [-3.946, 2.278, 6.337], [0.000, -4.556, 6.337]],
  "species": ["Ba", "Ba", "Tm", "Bi", "Bi", "Bi", "O", "O", "O", "O", "O", "O", "O", "O", "O", "O", "O", "O"],
  "fractional_positions": [[0.179, 0.179, 0.179], [0.821, 0.821, 0.821], [0.500, 0.500, 0.500], [0.000, 0.500, 0.500], [0.500, 0.000, 0.500], [0.500, 0.500, 0.000], [0.161, 0.584, 0.584], [0.173, 0.173, 0.559], [0.173, 0.559, 0.173], [0.416, 0.416, 0.839], [0.416, 0.839, 0.416], [0.441, 0.827, 0.827], [0.559, 0.173, 0.173], [0.584, 0.161, 0.584], [0.584, 0.584, 0.161], [0.827, 0.441, 0.827], [0.827, 0.827, 0.441], [0.839, 0.416, 0.416]],
  "raw_formation_energy_mev_per_atom": -1468
}

No. 9
{
  "formula": "LiY2CuS4",
  "functional": "GGA-PBE",
  "state": "relaxed",
  "cell": [[6.517, 0.000, 0.000], [0.000, 3.873, 0.000], [-2.699, 0.000, 6.287]],
  "species": ["Li", "Y", "Y", "Cu", "S", "S", "S", "S"],
  "fractional_positions": [[0.000, 0.000, 0.000], [0.500, 0.000, 0.500], [0.500, 0.500, 0.000], [0.000, 0.500, 0.500], [0.235, 0.000, 0.732], [0.246, 0.500, 0.236], [0.754, 0.500, 0.764], [0.765, 0.000, 0.268]],
  "raw_formation_energy_mev_per_atom": -1526
}

No. 10
{
  "formula": "TiIn2I8",
  "functional": "GGA-PBE",
  "state": "relaxed",
  "cell": [[8.278, -4.182, 0.000], [8.278, 4.182, 0.000], [-0.211, 0.000, 7.530]],
  "species": ["Ti", "In", "In", "I", "I", "I", "I", "I", "I", "I", "I"],
  "fractional_positions": [[0.000, 0.000, 0.000], [0.148, 0.148, 0.455], [0.852, 0.852, 0.545], [0.154, 0.154, 0.845], [0.176, 0.713, 0.767], [0.287, 0.824, 0.233], [0.310, 0.310, 0.370], [0.690, 0.690, 0.630], [0.713, 0.176, 0.767], [0.824, 0.287, 0.233], [0.846, 0.846, 0.155]],
  "raw_formation_energy_mev_per_atom": -541
}

No. 11
{
  "formula": "Mg4Cd2Pb",
  "functional": "GGA-PBE",
  "state": "relaxed",
  "cell": [[2.520, -4.304, 0.000], [2.520, 4.304, 0.000], [0.000, 0.000, 15.143]],
  "species": ["Mg", "Mg", "Mg", "Mg", "Mg", "Mg", "Mg", "Mg", "Cd", "Cd", "Cd", "Cd", "Pb", "Pb"],
  "fractional_positions": [[0.000, 0.000, 0.000], [0.000, 0.000, 0.500], [0.332, 0.668, 0.750], [0.333, 0.667, 0.141], [0.333, 0.667, 0.359], [0.667, 0.333, 0.641], [0.667, 0.333, 0.859], [0.668, 0.332, 0.250], [0.334, 0.666, 0.556], [0.334, 0.666, 0.944], [0.666, 0.334, 0.056], [0.666, 0.334, 0.444], [0.003, 0.997, 0.250], [0.997, 0.003, 0.750]],
  "e_form_kj_per_mol_atoms": -3.3
}

No. 12
{
  "formula": "Ba2In2Br",
  "functional": "GGA-PBE",
  "state": "relaxed",
  "cell": [[9.078, 0.000, 0.000], [0.000, 9.078, 0.000], [0.000, 0.000, 5.305]],
  "species": ["Ba", "Ba", "Ba", "Ba", "In", "In", "In", "In", "Br", "Br"],
  "fractional_positions": [[0.186, 0.314, 0.000], [0.314, 0.814, 0.000], [0.686, 0.186, 0.000], [0.814, 0.686, 0.000], [0.110, 0.610, 0.500], [0.390, 0.110, 0.500], [0.610, 0.890, 0.500], [0.890, 0.390, 0.500], [0.000, 0.000, 0.000], [0.500, 0.500, 0.000]],
  "raw_formation_energy_mev_per_atom": -691
}